# Sc2SiRu | Alexandria via LeMat-Bulk | PBE | optimized geometry
# SG	I-42d
# total energy	-6.928	eV per atom
# formation energy (no corrections)	-88	meV/atom
data_Sc2SiRu
_chemical_formula_sum 'Sc4 Si2 Ru2'
_space_group_name_H-M_alt 'P 1'
_space_group_IT_number 1
_cell_length_a 5.8687
_cell_length_b 5.8687
_cell_length_c 5.8687
_cell_angle_alpha 102.47
_cell_angle_beta 102.47
_cell_angle_gamma 124.61
loop_
_space_group_symop_operation_xyz
'x,y,z'
loop_
_atom_site_label
_atom_site_fract_x
_atom_site_fract_y
_atom_site_fract_z
Sc1 0.0870 0.6250 0.9620
Sc2 0.3750 0.3370 0.4620
Sc3 0.6630 0.1250 0.0380
Sc4 0.8750 0.9130 0.5380
Si1 0.2500 0.7500 0.5000
Si2 0.5000 0.5000 0.0000
Ru1 0.0000 0.0000 0.0000
Ru2 0.7500 0.2500 0.5000